No. 1
Below is a geometry-optimized LaBe2F8 structure, with properties calculated at the PBE level.

The structure belongs to space group C2/m (No. 12); the cell edges are 10.241, 4.584 and 6.163 Å and the angles 90.00°, 113.81° and 90.00°. Symmetry generates all atoms from La at (0.000, 0.000, 0.000), Be at (0.208, 0.000, 0.676), F at (0.129, 0.500, 0.171), F at (0.130, 0.241, 0.769) and F at (0.163, 0.000, 0.408).

As for the total energy: -124.54 eV/cell. Its spin magnetization is 1.00 μB per formula unit. Its uncorrected formation energy is -3.174 eV per atom.

---

No. 2
Below is a geometry-optimized LaBeF2 structure, with properties calculated at the PBE level.

The structure belongs to space group I4_1/amd (No. 141, origin choice 2); the cell edges are 4.978, 4.978 and 9.994 Å and the angles 90.00°, 90.00° and 90.00°. Symmetry generates all atoms from La at (0.000, 0.250, 0.375), Be at (0.000, 0.250, 0.875) and F at (0.000, 0.000, 0.000).

As for the total energy: -74.96 eV/cell. Its spin magnetization is 0.04 μB per formula unit. Its uncorrected formation energy is -1.586 eV per atom.

---

No. 3
Below is a geometry-optimized LaBeF2 structure, with properties calculated at the PBE level.

The structure belongs to space group R-3m (No. 166, hexagonal axes); the cell edges are 3.4237, 3.4237 and 20.3429 Å and the angles 90.00°, 90.00° and 120.00°. Symmetry generates all atoms from La at (0.0000, 0.0000, 0.0000), Be at (0.0000, 0.0000, 0.5000) and F at (0.0000, 0.0000, 0.4243).

As for the total energy: -59.83 eV/cell. Its spin magnetization is 0.03 μB per formula unit. Its uncorrected formation energy is -1.887 eV per atom.

---

No. 4
Below is a geometry-optimized LaBeF2 structure, with properties calculated at the PBE level.

The structure belongs to space group Fm-3m (No. 225); the cell edges are 6.288, 6.288 and 6.288 Å and the angles 90.00°, 90.00° and 90.00°. Symmetry generates all atoms from La at (0.000, 0.000, 0.000), Be at (0.000, 0.000, 0.500) and F at (0.250, 0.250, 0.250).

As for the total energy: -76.43 eV/cell. Its spin magnetization is 0.91 μB per formula unit. Its uncorrected formation energy is -1.678 eV per atom.